Here is a relaxed structure of Li5MgBi2 from Alexandria via LeMat-Bulk. Energies are from GGA-PBE.

Geometry as POSCAR:
```
Li5MgBi2
1.0
4.9321 0.0000 0.0000
-2.4660 4.2713 0.0000
0.0000 0.0000 18.2342
Li Bi Mg
10 4 2
direct
0.3333 0.6667 0.9353
0.6667 0.3333 0.2500
0.3333 0.6667 0.5647
0.0000 0.0000 0.3534
0.6667 0.3333 0.4353
0.0000 0.0000 0.6466
0.6667 0.3333 0.0647
0.0000 0.0000 0.8534
0.3333 0.6667 0.7500
0.0000 0.0000 0.1466
0.6667 0.3333 0.5985
0.3333 0.6667 0.4015
0.3333 0.6667 0.0985
0.6667 0.3333 0.9015
0.6667 0.3333 0.7500
0.3333 0.6667 0.2500
```

For the calculated volume, the calculation gives 24.0 Å³/atom. As for the total moment: 0.0 μB/f.u. The value obtained for the energy of formation is -27.1 kJ per mole of atoms. The density of states at the Fermi level is 5.3 states/eV/cell.

---

Here is a relaxed structure of LiMg2Bi2 from Alexandria via LeMat-Bulk. Energies are from GGA-PBE.

Geometry as POSCAR:
```
LiMg2Bi2
1.0
5.8939 0.0000 0.0000
0.0000 7.8960 0.0000
-2.9470 -3.9480 5.8188
Mg Li Bi
4 2 4
direct
0.1188 0.2466 0.2377
0.3812 0.0089 0.7623
0.8812 0.7534 0.7623
0.6188 0.9911 0.2377
0.7500 0.5000 0.0000
0.2500 0.5000 0.0000
0.3665 0.6176 0.7330
0.6335 0.3824 0.2670
0.1335 0.8846 0.2670
0.8665 0.1154 0.7330
```

For the calculated volume, the calculation gives 27.1 Å³/atom. The calculation puts the polymorph energy (0 for the lowest one) at 7 meV per atom. As for the total moment: 0.0 μB/f.u. The value obtained for the energy of formation is -22.7 kJ per mole of atoms. The density of states at the Fermi level is 2.8 states/eV/cell.

---

Here is a relaxed structure of Li8MgBi2 from Alexandria via LeMat-Bulk. Energies are from GGA-PBE.

Geometry as POSCAR:
```
Li8MgBi2
1.0
4.7147 0.0000 0.0000
0.0000 8.1709 -0.2700
-2.3574 -3.8911 6.0848
Bi Li Mg
2 8 1
direct
0.7894 0.2894 0.5788
0.2106 0.7106 0.4212
0.1432 0.1431 0.2865
0.3403 0.1423 0.6807
0.8568 0.8569 0.7135
0.6597 0.8577 0.3193
0.3401 0.5384 0.6802
0.0000 0.3125 0.0001
0.6599 0.4616 0.3198
0.0000 0.6875 0.9999
0.5000 0.0000 0.0000
```

For the calculated volume, the calculation gives 20.9 Å³/atom. As for the total moment: 0.0 μB/f.u. The value obtained for the energy of formation is -31.8 kJ per mole of atoms. The density of states at the Fermi level is 3.1 states/eV/cell.

---

Here is a relaxed structure of LiMg2Bi2 from Alexandria via LeMat-Bulk. Energies are from GGA-PBE.

Geometry as POSCAR:
```
LiMg2Bi2
1.0
4.8492 0.0000 0.0000
0.0000 4.8492 0.0000
2.4246 2.4246 6.6712
Mg Bi Li
2 2 1
direct
0.3925 0.3925 0.2150
0.6075 0.6075 0.7850
0.7500 0.2500 0.5000
0.2500 0.7500 0.5000
0.0000 0.0000 0.0000
```

For the calculated volume, the calculation gives 31.4 Å³/atom. The calculation puts the polymorph energy (0 for the lowest one) at 254 meV per atom. As for the total moment: 0.0 μB/f.u. The value obtained for the energy of formation is 1.0 kJ per mole of atoms. The density of states at the Fermi level is 1.4 states/eV/cell.

---

Which of these has the highest calculated volume? number 4